A plane-wave DFT calculation with meta-GGA SCAN was carried out for TmZr3 at its PBEsol-relaxed geometry.

Unit cell a=5.1407 b=6.5044 c=6.5044 alpha=120.00 beta=90.00 gamma=90.00
Positions (direct):
Tm 0.7500 0.3333 0.6667
Tm 0.2500 0.6667 0.3333
Zr 0.2500 0.6746 0.8373
Zr 0.7500 0.8373 0.1627
Zr 0.7500 0.3254 0.1627
Zr 0.2500 0.1627 0.8373
Zr 0.2500 0.1627 0.3254
Zr 0.7500 0.8373 0.6746

Calculated values
Space group: P6_3/mmc
Energy relative to the elements, eV/atom: 0.02
VASP energy, eV for the cell shown: -287.70